# 1
## LaBeTcMo (PBE-GGA)

Data for a relaxed structure of LaBeTcMo.

Geometry as POSCAR:
```
LaBeTcMo
1.0
0.0000 3.1893 3.1893
3.1893 0.0000 3.1893
3.1893 3.1893 0.0000
La Be Tc Mo
1 1 1 1
Direct
0.0000 0.0000 0.0000
0.5000 0.5000 0.5000
0.7500 0.7500 0.7500
0.2500 0.2500 0.2500
```

Computed properties:
Excess energy over the best structure of this formula in the dataset   150.2 meV per atom
Total magnetic moment   0.04 μB/cell
ρ   8.7 Mg/m³



# 2
## Er2Zn3GaCo2 (PBE-GGA)

Data for a relaxed structure of Er2Zn3GaCo2.

Geometry as POSCAR:
```
Er2Zn3GaCo2
1.0
4.7126 -1.9963 0.0000
4.7126 1.9963 0.0000
-0.0463 0.0000 7.0941
Er Zn Ga Co
2 3 1 2
Direct
0.0000 0.0000 0.0000
0.1331 0.1331 0.4995
0.4189 0.4189 0.3051
0.7098 0.7098 0.8100
0.7156 0.7156 0.1960
0.4184 0.4184 0.6957
0.2860 0.2860 0.9980
0.8529 0.8529 0.5089
```

Computed properties:
Total magnetic moment   0.01 μB/cell
ρ   8.9 Mg/m³



# 3
## Li2MgZn (PBE-GGA)

Data for a relaxed structure of Li2MgZn.

Geometry as POSCAR:
```
Li2MgZn
1.0
0.0000 3.2193 3.2193
3.2193 0.0000 3.2193
3.2193 3.2193 0.0000
Li Mg Zn
2 1 1
Direct
0.0000 0.0000 0.0000
0.2500 0.2500 0.2500
0.7500 0.7500 0.7500
0.5000 0.5000 0.5000
```

Computed properties:
ρ   2.6 Mg/m³



# 4
## DyTmAsO (PBE-GGA)

Data for a relaxed structure of DyTmAsO.

Geometry as POSCAR:
```
DyTmAsO
1.0
4.1423 0.0000 0.0000
0.0000 7.4886 0.0000
0.0000 0.0000 5.8958
Dy Tm As O
2 2 2 2
Direct
0.0000 0.2121 0.0000
0.0000 0.7879 0.5000
0.5000 0.3885 0.5747
0.5000 0.6115 0.0747
0.0000 0.1631 0.4901
0.0000 0.8369 0.9901
0.5000 0.3337 0.9382
0.5000 0.6663 0.4382
```

Computed properties:
Excess energy over the best structure of this formula in the dataset   0.0 meV per atom
Total magnetic moment   0.02 μB/cell
ρ   7.7 Mg/m³



# 5
## Hf2Ag3Au (PBE-GGA)

Data for a relaxed structure of Hf2Ag3Au.

Geometry as POSCAR:
```
Hf2Ag3Au
1.0
3.5438 0.0000 0.0000
0.0000 3.5438 0.0000
0.0000 0.0000 8.8879
Hf Ag Au
2 3 1
Direct
0.0000 0.0000 0.0000
0.5000 0.5000 0.4937
0.0000 0.0000 0.3273
0.0000 0.0000 0.6660
0.5000 0.5000 0.8240
0.5000 0.5000 0.1620
```

Computed properties:
Formation energy   -15 kJ/mol of atoms
Total magnetic moment   0.36 μB/cell
ρ   13.1 Mg/m³



# 6
## Cs2PdBrF3 (PBE-GGA)

Data for a relaxed structure of Cs2PdBrF3.

Geometry as POSCAR:
```
Cs2PdBrF3
1.0
3.9504 0.0000 0.0000
0.0000 4.8394 4.2935
0.0000 -4.8394 4.2935
Cs Pd Br F
2 1 1 3
Direct
0.0000 0.2105 0.7895
0.0000 0.7895 0.2105
0.5000 0.7120 0.7120
0.5000 0.4290 0.4290
0.5000 0.5195 0.9300
0.5000 0.9300 0.5195
0.5000 0.9503 0.9503
```

Computed properties:
ρ   5.1 Mg/m³



# 7
## SmTlCuTe3 (PBE-GGA)

Data for a relaxed structure of SmTlCuTe3.

Geometry as POSCAR:
```
SmTlCuTe3
1.0
2.1109 -7.7203 0.0000
2.1109 7.7203 0.0000
0.0000 0.0000 11.5401
Sm Tl Cu Te
2 2 2 6
Direct
0.0000 0.0000 0.0000
0.0000 0.0000 0.5000
0.2484 0.7516 0.7500
0.7516 0.2484 0.2500
0.4671 0.5329 0.2500
0.5329 0.4671 0.7500
0.0726 0.9274 0.2500
0.3616 0.6384 0.0695
0.3616 0.6384 0.4305
0.6384 0.3616 0.5695
0.6384 0.3616 0.9305
0.9274 0.0726 0.7500
```

Computed properties:
Total magnetic moment   0.01 μB/cell
ρ   7.1 Mg/m³



# 8
## Tb12Ni6Bi (PBE-GGA)

Data for a relaxed structure of Tb12Ni6Bi.

Geometry as POSCAR:
```
Tb12Ni6Bi
1.0
-4.8958 4.8958 4.8958
4.8958 -4.8958 4.8958
4.8958 4.8958 -4.8958
Tb Ni Bi
12 6 1
Direct
0.1191 0.3074 0.8118
0.1882 0.4956 0.3074
0.1882 0.8809 0.6926
0.3074 0.1882 0.4956
0.3074 0.8118 0.1191
0.4956 0.3074 0.1882
0.5044 0.6926 0.8118
0.6926 0.1882 0.8809
0.6926 0.8118 0.5044
0.8118 0.1191 0.3074
0.8118 0.5044 0.6926
0.8809 0.6926 0.1882
0.1230 0.5000 0.6230
0.3770 0.8770 0.5000
0.5000 0.3770 0.8770
0.5000 0.6230 0.1230
0.6230 0.1230 0.5000
0.8770 0.5000 0.3770
0.0000 0.0000 0.0000
```

Computed properties:
Total magnetic moment   0.02 μB/cell
ρ   8.7 Mg/m³



# 9
## ReW5 (PBE-GGA)

Data for a relaxed structure of ReW5.

Geometry as POSCAR:
```
ReW5
1.0
5.2048 0.0000 0.0000
-2.6024 4.5074 0.0000
0.0000 0.0000 8.5025
Re W
2 10
Direct
0.0000 0.0000 0.0000
0.0000 0.0000 0.5000
0.1699 0.3398 0.2500
0.1699 0.8301 0.2500
0.3333 0.6667 0.5491
0.3333 0.6667 0.9509
0.3398 0.1699 0.7500
0.6602 0.8301 0.2500
0.6667 0.3333 0.0491
0.6667 0.3333 0.4509
0.8301 0.1699 0.7500
0.8301 0.6602 0.7500
```

Computed properties:
Excess energy over the best structure of this formula in the dataset   0.0 meV per atom
Formation energy   37 kJ/mol of atoms
Total magnetic moment   0.03 μB/cell
ρ   18.4 Mg/m³



# 10
## YMgAu2 (PBE-GGA)

Data for a relaxed structure of YMgAu2.

Geometry as POSCAR:
```
YMgAu2
1.0
4.8349 0.0000 0.0000
0.0000 4.8349 0.0000
0.0000 0.0000 3.5783
Y Mg Au
1 1 2
Direct
0.0000 0.0000 0.0000
0.5000 0.5000 0.0000
0.0000 0.5000 0.5000
0.5000 0.0000 0.5000
```

Computed properties:
Total magnetic moment   0.01 μB/cell
ρ   10.1 Mg/m³



# 11
## Hf4BiPC2 (PBE-GGA)

Data for a relaxed structure of Hf4BiPC2.

Geometry as POSCAR:
```
Hf4BiPC2
1.0
3.4134 0.0000 0.0000
-1.7067 2.9561 0.0000
0.0000 0.0000 13.2827
Hf Bi P C
4 1 1 2
Direct
0.0000 0.0000 0.1327
0.0000 0.0000 0.8673
0.6667 0.3333 0.3160
0.6667 0.3333 0.6840
0.0000 0.0000 0.5000
0.6667 0.3333 0.0000
0.3333 0.6667 0.2283
0.3333 0.6667 0.7717
```

Computed properties:
Total magnetic moment   0.01 μB/cell
ρ   12.1 Mg/m³



# 12
## SrSn2PdAu (PBE-GGA)

Data for a relaxed structure of SrSn2PdAu.

Geometry as POSCAR:
```
SrSn2PdAu
1.0
4.7530 0.0000 0.0000
0.0000 4.7530 0.0000
0.0000 0.0000 10.9636
Sr Sn Pd Au
2 4 2 2
Direct
0.2500 0.2500 0.2456
0.7500 0.7500 0.7544
0.2500 0.2500 0.8637
0.2500 0.7500 0.5000
0.7500 0.2500 0.5000
0.7500 0.7500 0.1363
0.2500 0.2500 0.6222
0.7500 0.7500 0.3778
0.2500 0.7500 0.0000
0.7500 0.2500 0.0000
```

Computed properties:
ρ   8.4 Mg/m³



Uncorrected energy across the listed records, respectively: -27.34, -32.92, -7.14, -53.21, -32.60, -27.21, -48.68, -100.52, -149.87, -17.28, -74.58, -42.74 eV/cell.